Density functional theory data (PBE) for crystalline TlNi2Rh at its relaxed geometry.

Geometry as extended XYZ:
```
4
Lattice="0.0000 3.0695 3.0695 3.0695 0.0000 3.0695 3.0695 3.0695 0.0000" Properties=species:S:1:pos:R:3 pbc="T T T"
Tl 0.0000 0.0000 0.0000
Ni 1.5348 1.5348 1.5348
Ni 4.6043 4.6043 4.6043
Rh 3.0695 3.0695 3.0695
```

Relative energy among the computed polymorphs (eV/atom): 0.039
DOS at the Fermi energy (states/eV/atom): 0.696
Formation energy from the elements (eV/atom): 0.23
Space-group type: Fm-3m
Crystal system: cubic

***

Density functional theory data (PBE) for crystalline SnBiPbSe at its relaxed geometry.

Geometry as extended XYZ:
```
4
Lattice="3.9592 0.0000 0.0000 -1.9710 4.2768 0.0000 -0.0138 -2.5635 7.5715" Properties=species:S:1:pos:R:3 pbc="T T T"
Sn 0.0000 0.0000 0.0000
Bi -0.0003 -0.1396 5.7822
Pb 0.0041 2.6837 3.5591
Se 1.9810 0.8231 1.8638
```

DOS at the Fermi energy (states/eV/atom): 0.313
Raw formation energy (eV/atom): -0.139
Space-group type: P1
Crystal system: triclinic

***

Density functional theory data (PBE) for crystalline BiPPbS2 at its relaxed geometry.

Geometry as extended XYZ:
```
5
Lattice="5.2336 0.0000 0.0000 0.0000 5.2336 0.0000 0.0000 0.0000 5.2481" Properties=species:S:1:pos:R:3 pbc="T T T"
Bi 0.0000 0.0000 0.0000
P 0.0000 0.0000 2.6241
Pb 2.6168 2.6168 2.6241
S 0.0000 2.6168 0.0000
S 2.6168 0.0000 0.0000
```

Relative energy among the computed polymorphs (eV/atom): 0.000
DOS at the Fermi energy (states/eV/atom): 0.951
Raw formation energy (eV/atom): 0.480
Space-group type: P4/mmm
Crystal system: tetragonal

***

Density functional theory data (PBE) for crystalline K2GeS at its relaxed geometry.

Geometry as extended XYZ:
```
4
Lattice="0.0000 3.9270 3.9270 3.9270 0.0000 3.9270 3.9270 3.9270 0.0000" Properties=species:S:1:pos:R:3 pbc="T T T"
K 1.9635 1.9635 1.9635
K 5.8904 5.8904 5.8904
Ge 0.0000 0.0000 0.0000
S 3.9270 3.9270 3.9270
```

Relative energy among the computed polymorphs (eV/atom): 0.182
DOS at the Fermi energy (states/eV/atom): 0.805
Raw formation energy (eV/atom): -0.043
Space-group type: Fm-3m
Crystal system: cubic